Entry 1:
Zn2SnMo3 | PBE-GGA | relaxed

Cell lengths 5.2350, 5.2350, 4.5479 Å; angles 90.00, 90.00, 120.00 degrees
Atoms (fractional coordinates):
Zn: 0.3333 0.6667 0.0000
Zn: 0.6667 0.3333 0.0000
Sn: 0.0000 0.0000 0.0000
Mo: 0.0000 0.5000 0.5000
Mo: 0.5000 0.0000 0.5000
Mo: 0.5000 0.5000 0.5000

Results
Its space-group type is P6/mmm. For the electronic total energy, the calculation gives -5.931 eV per atom.


Entry 2:
Dy4Sn3 | PBE-GGA | relaxed

Cell lengths 8.0371, 8.0371, 8.0371 Å; angles 109.47, 109.47, 109.47 degrees
Atoms (fractional coordinates):
Dy: 0.0000 0.1407 0.5000
Dy: 0.0000 0.6407 0.5000
Dy: 0.1407 0.5000 0.0000
Dy: 0.3593 0.3593 0.3593
Dy: 0.5000 0.0000 0.1407
Dy: 0.5000 0.0000 0.6407
Dy: 0.6407 0.5000 0.0000
Dy: 0.8593 0.8593 0.8593
Sn: 0.1250 0.8750 0.2500
Sn: 0.2500 0.1250 0.8750
Sn: 0.3750 0.6250 0.7500
Sn: 0.6250 0.7500 0.3750
Sn: 0.7500 0.3750 0.6250
Sn: 0.8750 0.2500 0.1250

Results
Its space-group type is I-43d. For the electronic total energy, the calculation gives -5.074 eV per atom.


Entry 3:
BaGaMo | PBE-GGA | relaxed

Cell lengths 5.0039, 5.0039, 5.0039 Å; angles 60.00, 60.00, 60.00 degrees
Atoms (fractional coordinates):
Ba: 0.0000 0.0000 0.0000
Ga: 0.5000 0.5000 0.5000
Mo: 0.2500 0.2500 0.2500

Results
Its space-group type is F-43m. For the electronic total energy, the calculation gives -4.303 eV per atom.


Entry 4:
Li2Sc2Al2IrPd | PBE-GGA | relaxed

Cell lengths 4.4701, 4.4701, 6.3350 Å; angles 90.00, 90.00, 90.00 degrees
Atoms (fractional coordinates):
Li: 0.0000 0.0000 0.0000
Li: 0.5000 0.5000 0.5000
Sc: 0.0000 0.5000 0.2472
Sc: 0.5000 0.0000 0.7528
Al: 0.0000 0.5000 0.7618
Al: 0.5000 0.0000 0.2382
Ir: 0.5000 0.5000 0.0000
Pd: 0.0000 0.0000 0.5000

Results
Its space-group type is P-4m2. For the electronic total energy, the calculation gives -5.441 eV per atom.


Entry 5:
LaAlCd | PBE-GGA | relaxed

Cell lengths 6.1908, 6.1908, 6.1908 Å; angles 134.17, 94.10, 103.40 degrees
Atoms (fractional coordinates):
La: 0.0000 0.0000 0.0000
La: 0.4916 0.4916 0.0000
Al: 0.6205 0.2809 0.3396
Al: 0.9413 0.2809 0.6604
Cd: 0.0421 0.7175 0.3246
Cd: 0.3929 0.7175 0.6754

Results
Its space-group type is Imm2. For the electronic total energy, the calculation gives -3.588 eV per atom.


Entry 6:
HoSnGe | PBE-GGA | relaxed

Cell lengths 4.9313, 4.9313, 4.9313 Å; angles 60.00, 60.00, 60.00 degrees
Atoms (fractional coordinates):
Ho: 0.0000 0.0000 0.0000
Sn: 0.2500 0.2500 0.2500
Ge: 0.7500 0.7500 0.7500

Results
Its space-group type is F-43m. For the electronic total energy, the calculation gives -4.519 eV per atom.


Entry 7:
PrZnO3 | PBE-GGA | relaxed

Cell lengths 5.9222, 5.9222, 5.9222 Å; angles 56.03, 56.03, 56.03 degrees
Atoms (fractional coordinates):
Pr: 0.1273 0.1273 0.1273
Pr: 0.8727 0.8727 0.8727
Zn: 0.3474 0.3474 0.3474
Zn: 0.6526 0.6526 0.6526
O: 0.0566 0.4828 0.6978
O: 0.3022 0.9434 0.5172
O: 0.4828 0.6978 0.0566
O: 0.5172 0.3022 0.9434
O: 0.6978 0.0566 0.4828
O: 0.9434 0.5172 0.3022

Results
Its space-group type is R-3. For the electronic total energy, the calculation gives -6.083 eV per atom.


Entry 8:
GdMgZn | PBE-GGA | relaxed

Cell lengths 3.1674, 3.1674, 8.9158 Å; angles 90.00, 90.00, 120.00 degrees
Atoms (fractional coordinates):
Gd: 0.0000 0.0000 0.0000
Mg: 0.0000 0.0000 0.6440
Zn: 0.0000 0.0000 0.3371

Results
Its space-group type is P6mm. For the electronic total energy, the calculation gives -2.113 eV per atom.


Entry 9:
CsSiTe2AuS | PBE-GGA | relaxed

Cell lengths 8.5882, 8.5882, 11.1272 Å; angles 90.00, 90.00, 153.90 degrees
Atoms (fractional coordinates):
Cs: 0.2378 0.7622 0.7500
Cs: 0.7622 0.2378 0.2500
Si: 0.5000 0.5000 0.0000
Si: 0.5000 0.5000 0.5000
Te: 0.1157 0.8843 0.0253
Te: 0.1157 0.8843 0.4747
Te: 0.8843 0.1157 0.5253
Te: 0.8843 0.1157 0.9747
Au: 0.0532 0.9468 0.2500
Au: 0.9468 0.0532 0.7500
S: 0.4592 0.5408 0.2500
S: 0.5408 0.4592 0.7500

Results
Its space-group type is Cmcm. For the electronic total energy, the calculation gives -3.475 eV per atom.


Entry 10:
SmHoB4 | PBE-GGA | relaxed

Cell lengths 3.3037, 3.3037, 7.8675 Å; angles 90.00, 90.00, 120.00 degrees
Atoms (fractional coordinates):
Sm: 0.0000 0.0000 0.0000
Ho: 0.0000 0.0000 0.5000
B: 0.3333 0.6667 0.2588
B: 0.3333 0.6667 0.7412
B: 0.6667 0.3333 0.2588
B: 0.6667 0.3333 0.7412

Results
Its space-group type is P6/mmm. For the electronic total energy, the calculation gives -6.492 eV per atom.


Entry 11:
NiCl2 | PBE-GGA | relaxed

Cell lengths 3.4710, 3.4710, 12.1944 Å; angles 90.00, 90.00, 120.00 degrees
Atoms (fractional coordinates):
Ni: 0.1677 0.8323 0.5000
Ni: 0.8323 0.1677 0.0000
Cl: 0.1656 0.8344 0.1073
Cl: 0.4991 0.5009 0.8927
Cl: 0.5009 0.4991 0.3927
Cl: 0.8344 0.1656 0.6073

Results
Its space-group type is Cmc2_1. For the electronic total energy, the calculation gives -3.684 eV per atom.


Which of these has the lowest electronic total energy? SmHoB4


Which of these has the highest electronic total energy? GdMgZn


Copy entry 10 word for word.
SmHoB4 | PBE-GGA | relaxed

Cell lengths 3.3037, 3.3037, 7.8675 Å; angles 90.00, 90.00, 120.00 degrees
Atoms (fractional coordinates):
Sm: 0.0000 0.0000 0.0000
Ho: 0.0000 0.0000 0.5000
B: 0.3333 0.6667 0.2588
B: 0.3333 0.6667 0.7412
B: 0.6667 0.3333 0.2588
B: 0.6667 0.3333 0.7412

Results
Its space-group type is P6/mmm. For the electronic total energy, the calculation gives -6.492 eV per atom.